Record 1
The following is a GGA-PBE calculation of a relaxed structure of Pm6Nd2HoEr, from Alexandria.

Cell lengths 9.8001, 8.9420, 8.9420 Å; angles 118.18, 94.33, 94.33 degrees
Element x y z (fractional)
Pm1 0.6895 0.0167 0.5741
Pm2 0.8105 0.4259 0.9833
Pm3 0.6192 0.4990 0.7090
Pm4 0.9445 0.8762 0.2467
Pm5 0.4445 0.2467 0.8762
Pm6 0.5555 0.7533 0.1238
Pm7 0.8808 0.2910 0.5010
Pm8 0.1895 0.5741 0.0167
Pm9 0.0555 0.1238 0.7533
Pm10 0.3105 0.9833 0.4259
Pm11 0.1192 0.7090 0.4990
Pm12 0.3808 0.5010 0.2910
Er1 0.2500 0.4082 0.5918
Er2 0.7500 0.5918 0.4082
Nd1 0.5424 0.1957 0.2977
Nd2 0.0424 0.2977 0.1957
Nd3 0.9576 0.7023 0.8043
Nd4 0.4576 0.8043 0.7023
Ho1 0.2500 0.9798 0.0202
Ho2 0.7500 0.0202 0.9798

Summary:
Energy of formation, eV per formula unit: 1.149
Space-group type: C2/c, No. 15
Total magnetic moment, μB per formula unit: 0.000

---

Record 2
The following is a GGA-PBE calculation of a relaxed structure of PmNdHo6Er2, from Alexandria.

Cell lengths 9.4810, 8.7633, 8.7633 Å; angles 117.13, 93.40, 93.40 degrees
Element x y z (fractional)
Er1 0.5482 0.1972 0.3007
Er2 0.0482 0.3007 0.1972
Er3 0.9518 0.6993 0.8028
Er4 0.4518 0.8028 0.6993
Pm1 0.7500 0.5913 0.4087
Pm2 0.2500 0.4087 0.5913
Ho1 0.3831 0.5138 0.2929
Ho2 0.4426 0.2465 0.8817
Ho3 0.1804 0.5645 0.0196
Ho4 0.9426 0.8817 0.2465
Ho5 0.6804 0.0196 0.5645
Ho6 0.8831 0.2929 0.5138
Ho7 0.3196 0.9804 0.4355
Ho8 0.8196 0.4355 0.9804
Ho9 0.0574 0.1183 0.7535
Ho10 0.6169 0.4862 0.7071
Ho11 0.5574 0.7535 0.1183
Ho12 0.1169 0.7071 0.4862
Nd1 0.2500 0.9701 0.0299
Nd2 0.7500 0.0299 0.9701

Summary:
Energy of formation, eV per formula unit: 1.238
Space-group type: C2/c, No. 15
Total magnetic moment, μB per formula unit: 0.000

---

Record 3
The following is a GGA-PBE calculation of a relaxed structure of Pm2Nd2HoEr, from Alexandria.

Cell lengths 5.7011, 7.0748, 9.8818 Å; angles 90.00, 90.00, 90.00 degrees
Element x y z (fractional)
Pm1 0.0000 0.7575 0.1626
Pm2 0.0000 0.2575 0.8374
Pm3 0.5000 0.7577 0.6688
Pm4 0.5000 0.2577 0.3312
Nd1 0.5000 0.5075 0.0001
Nd2 0.0000 0.7575 0.8224
Nd3 0.5000 0.0075 0.9999
Nd4 0.0000 0.2575 0.1776
Er1 0.0000 0.5077 0.5000
Er2 0.0000 0.0077 0.5000
Ho1 0.5000 0.2577 0.6586
Ho2 0.5000 0.7577 0.3414

Summary:
Energy of formation, eV per formula unit: 0.356
Space-group type: Pmma, No. 51
Total magnetic moment, μB per formula unit: 0.000

---

Record 4
The following is a GGA-PBE calculation of a relaxed structure of Pm6NdHo2Er, from Alexandria.

Cell lengths 9.7023, 8.9105, 8.9105 Å; angles 117.69, 94.13, 94.13 degrees
Element x y z (fractional)
Pm1 0.8797 0.2935 0.5074
Pm2 0.6203 0.4926 0.7065
Pm3 0.3797 0.5074 0.2935
Pm4 0.1841 0.5679 0.0183
Pm5 0.9450 0.8859 0.2412
Pm6 0.0550 0.1141 0.7588
Pm7 0.6841 0.0183 0.5679
Pm8 0.8159 0.4321 0.9817
Pm9 0.4450 0.2412 0.8859
Pm10 0.5550 0.7588 0.1141
Pm11 0.1203 0.7065 0.4926
Pm12 0.3159 0.9817 0.4321
Er1 0.7500 0.0281 0.9719
Er2 0.2500 0.9719 0.0281
Nd1 0.7500 0.5932 0.4068
Nd2 0.2500 0.4068 0.5932
Ho1 0.4547 0.8049 0.7070
Ho2 0.5453 0.1951 0.2930
Ho3 0.9547 0.7070 0.8049
Ho4 0.0453 0.2930 0.1951

Summary:
Energy of formation, eV per formula unit: 1.179
Space-group type: C2/c, No. 15
Total magnetic moment, μB per formula unit: 0.000

---

Record 5
The following is a GGA-PBE calculation of a relaxed structure of Pm6NdHo3Er2, from Alexandria.

Cell lengths 6.2400, 6.2400, 11.8590 Å; angles 95.02, 95.02, 119.98 degrees
Element x y z (fractional)
Nd1 0.0000 0.0000 0.0000
Pm1 0.2500 0.2500 0.7488
Pm2 0.9159 0.5816 0.7487
Pm3 0.4184 0.0841 0.2513
Pm4 0.7500 0.7500 0.2512
Pm5 0.0841 0.4184 0.2513
Pm6 0.5816 0.9159 0.7487
Ho1 0.8331 0.1669 0.5000
Ho2 0.1669 0.8331 0.5000
Ho3 0.5000 0.5000 0.5000
Er1 0.3334 0.6666 0.0000
Er2 0.6666 0.3334 0.0000

Summary:
Energy of formation, eV per formula unit: 0.172
Space-group type: C2/m, No. 12
Total magnetic moment, μB per formula unit: 0.000

---

Record 6
The following is a GGA-PBE calculation of a relaxed structure of Pm5Nd2HoEr, from Alexandria.

Cell lengths 8.6129, 8.6129, 10.2888 Å; angles 114.74, 114.74, 90.00 degrees
Element x y z (fractional)
Ho1 0.2500 0.2500 0.5000
Ho2 0.7500 0.7500 0.5000
Nd1 0.6212 0.1212 0.0000
Nd2 0.1212 0.3788 0.0000
Nd3 0.3788 0.8788 0.0000
Nd4 0.8788 0.6212 0.0000
Pm1 0.6399 0.1399 0.7139
Pm2 0.5000 0.5000 0.0000
Pm3 0.0000 0.0000 0.0000
Pm4 0.0740 0.5740 0.7139
Pm5 0.4260 0.3601 0.2861
Pm6 0.8601 0.9260 0.2861
Pm7 0.5740 0.6399 0.7139
Pm8 0.1399 0.0740 0.7139
Pm9 0.9260 0.4260 0.2861
Pm10 0.3601 0.8601 0.2861
Er1 0.7500 0.2500 0.5000
Er2 0.2500 0.7500 0.5000

Summary:
Energy of formation, eV per formula unit: 2.477
Space-group type: I4/mcm, No. 140
Total magnetic moment, μB per formula unit: 0.000

---

Record 7
The following is a GGA-PBE calculation of a relaxed structure of Pm4Nd2HoEr2, from Alexandria.

Cell lengths 5.1171, 8.0939, 8.0510 Å; angles 107.60, 90.00, 108.43 degrees
Element x y z (fractional)
Pm1 0.7785 0.5570 0.6697
Pm2 0.5553 0.1106 0.3302
Pm3 0.4447 0.8894 0.6698
Pm4 0.2215 0.4430 0.3303
Er1 0.3333 0.6666 0.9998
Er2 0.6667 0.3334 0.0002
Nd1 0.1116 0.2233 0.6694
Nd2 0.8884 0.7767 0.3306
Ho1 0.0000 0.0000 0.0000

Summary:
Energy of formation, eV per formula unit: 0.189
Space-group type: C2/m, No. 12
Total magnetic moment, μB per formula unit: 0.000

---

Record 8
The following is a GGA-PBE calculation of a relaxed structure of PmNd5Ho2Er, from Alexandria.

Cell lengths 5.6578, 10.6061, 10.7575 Å; angles 90.00, 90.00, 105.47 degrees
Element x y z (fractional)
Nd1 0.6105 0.2211 0.5240
Nd2 0.7191 0.4382 0.8092
Nd3 0.3895 0.7789 0.0240
Nd4 0.0159 0.0318 0.0205
Nd5 0.2809 0.5618 0.3092
Nd6 0.5190 0.0380 0.2434
Nd7 0.9841 0.9682 0.5205
Nd8 0.7035 0.4069 0.2040
Nd9 0.2965 0.5931 0.7040
Nd10 0.4810 0.9620 0.7434
Ho1 0.1105 0.2211 0.7390
Ho2 0.1157 0.2315 0.3138
Ho3 0.8843 0.7685 0.8138
Ho4 0.8895 0.7789 0.2390
Er1 0.5907 0.1815 0.9606
Er2 0.4093 0.8185 0.4606
Pm1 0.2006 0.4011 0.0094
Pm2 0.7994 0.5989 0.5094

Summary:
Energy of formation, eV per formula unit: 1.294
Space-group type: Cmc2_1, No. 36
Total magnetic moment, μB per formula unit: 0.000